Er5HfSb6 | GGA-PBE | relaxed

a = 7.457 Å, b = 7.457 Å, c = 7.453 Å
α = 99.63°, β = 99.63°, γ = 119.98°
Fractional positions:
Er 0.000 0.000 0.000
Er 0.165 0.835 0.500
Er 0.329 0.671 0.000
Er 0.671 0.329 0.000
Er 0.835 0.165 0.500
Hf 0.500 0.500 0.500
Sb 0.095 0.420 0.257
Sb 0.260 0.260 0.748
Sb 0.420 0.095 0.257
Sb 0.580 0.905 0.743
Sb 0.740 0.740 0.252
Sb 0.905 0.580 0.743

calculated total energy: -5.768 eV/atom